Entry 1:
BaZn4Sb | PBE | optimized geometry

Properties
Energy (eV per cell): -11.5
Mass density (g/cm3): 6.2
Calculated volume (Å³/f.u.): 140

a = 5.825 Å, b = 5.825 Å, c = 5.825 Å
α = 60.00°, β = 60.00°, γ = 60.00°
Fractional positions:
Ba 0.750 0.750 0.750
Zn 0.884 0.372 0.372
Zn 0.372 0.372 0.884
Zn 0.372 0.884 0.372
Zn 0.372 0.372 0.372
Sb 0.000 0.000 0.000

Entry 2:
Ca2TlHgAu | PBE | optimized geometry

Properties
Mass density (g/cm3): 8.3
Calculated volume (Å³/f.u.): 136
Formation enthalpy at 0 K (eV/atom): -0.52

a = 4.852 Å, b = 7.985 Å, c = 7.454 Å
α = 109.82°, β = 90.00°, γ = 90.00°
Fractional positions:
Ca 0.750 0.871 0.646
Ca 0.750 0.706 0.041
Ca 0.250 0.129 0.354
Ca 0.250 0.294 0.959
Tl 0.250 0.701 0.338
Tl 0.750 0.299 0.662
Hg 0.250 0.541 0.682
Hg 0.750 0.459 0.318
Au 0.250 0.903 0.930
Au 0.750 0.097 0.070

Entry 3:
ZrScNiAu | PBE | optimized geometry

Properties
Mass density (g/cm3): 8.9
Calculated volume (Å³/f.u.): 74
Formation enthalpy at 0 K (eV/atom): -0.47

a = 4.702 Å, b = 4.702 Å, c = 4.702 Å
α = 60.00°, β = 60.00°, γ = 60.00°
Fractional positions:
Sc 0.250 0.250 0.250
Ni 0.000 0.000 0.000
Au 0.500 0.500 0.500
Zr 0.750 0.750 0.750